No. 1
## Zn3Rh2 (PBE)

Data for Zn3Rh2 after structural relaxation.

The density of states at the Fermi level comes out at 2.56 states/eV per cell. The calculation puts the energy relative to the lowest polymorph listed for this composition at 0.70 eV per formula unit. As for the formation energy: -118 kJ/mol of formula units. The energy comes out at -3.9505 eV/atom. The value obtained for the volume is 15.819 A^3/atom.

Cell: 4.2242 4.2242 5.1184 Å, 90.00 90.00 120.00°
With the nearest neighbours (Å) after each atom.
Space group P-3m1 (No. 164)
Asymmetric unit:
Zn: 0.0000 0.0000 0.0000 [1 per cell]  6 Rh 2.56
Zn: 0.3333 0.6667 0.3569 [2 per cell]  5 Rh 2.52-2.66
Rh: 0.3333 0.6667 0.8491 [2 per cell]  8 Zn 2.52-2.66


No. 2
## MgOs2W (PBE)

Data for MgOs2W after structural relaxation.

The density of states at the Fermi level comes out at 9.67 states/eV per cell. As for the formation energy: 65 kJ/mol of formula units. The energy comes out at -9.0825 eV/atom. The value obtained for the volume is 15.541 A^3/atom.

Cell: 2.8173 2.8173 27.1309 Å, 90.00 90.00 120.00°
With the nearest neighbours (Å) after each atom.
Space group R-3m (No. 166, hexagonal axes)
Asymmetric unit:
Mg: 0.0000 0.0000 0.0000 [3 per cell]  6 Mg 2.82, 6 Os 2.86
Os: 0.0000 0.0000 0.2468 [6 per cell]  3 W 2.72, 6 Os 2.82, 3 Mg 2.86
W: 0.0000 0.0000 0.5000 [3 per cell]  6 Os 2.72, 6 W 2.82